(1)
PBE-GGA AcLa3Pr2N6, optimized geometry; symmetry = C2/m, No. 12; E = -93.47 eV per cell
1.0
6.519 -0.002 0.003
-3.260 5.646 0.003
-1.085 -1.878 6.132
N La Pr Ac
6 3 2 1
Direct
0.084 0.427 0.252
0.427 0.084 0.252
0.260 0.260 0.750
0.916 0.573 0.748
0.740 0.740 0.250
0.573 0.916 0.748
0.169 0.831 0.500
0.500 0.500 0.500
0.831 0.169 0.500
0.666 0.334 0.000
0.334 0.666 0.000
0.000 0.000 0.000

---

(2)
PBE-GGA Ac2La3PrN6, optimized geometry; symmetry = C2/m, No. 12; E = -92.32 eV per cell
1.0
-3.297 -1.444 1.171
0.936 -5.911 -4.651
5.275 -1.842 6.467
La N Ac Pr
3 6 2 1
Direct
0.840 0.168 0.679
0.160 0.832 0.321
0.500 0.500 0.000
0.660 0.591 0.320
0.340 0.409 0.680
0.342 0.925 0.684
0.002 0.753 0.005
0.998 0.247 0.995
0.658 0.075 0.316
0.165 0.328 0.331
0.835 0.672 0.669
0.500 0.000 0.000

---

(3)
PBE-GGA Ac2LaPr3N6, optimized geometry; symmetry = C2/m, No. 12; E = -91.82 eV per cell
1.0
-1.912 3.158 0.766
-2.266 0.375 -7.208
-4.962 -6.045 3.253
N Pr Ac La
6 3 2 1
Direct
0.338 0.408 0.676
0.662 0.592 0.324
0.997 0.250 0.995
0.337 0.924 0.675
0.003 0.750 0.005
0.663 0.076 0.325
0.163 0.832 0.325
0.837 0.168 0.675
0.500 0.500 0.000
0.834 0.671 0.668
0.166 0.329 0.332
0.500 0.000 0.000

---

(4)
PBE-GGA AcLa2PrN4, optimized geometry; symmetry = P2/m, No. 10; E = -61.87 eV per cell
1.0
-0.875 2.099 3.016
5.049 -2.584 3.263
5.347 3.657 -0.994
N La Ac Pr
4 2 1 1
Direct
0.000 0.752 0.754
0.500 0.245 0.757
0.000 0.248 0.246
0.500 0.755 0.243
0.000 0.000 0.000
0.500 0.000 0.500
0.000 0.500 0.500
0.500 0.500 0.000

---

(5)
PBE-GGA AcLa2Pr2N4, optimized geometry; symmetry = C2/m, No. 12; E = -65.80 eV per cell
1.0
3.663 0.000 0.000
-1.831 10.699 0.266
0.000 -3.138 5.726
Pr N La Ac
2 4 2 1
Direct
0.827 0.654 0.544
0.173 0.346 0.456
0.246 0.491 0.249
0.402 0.804 0.831
0.598 0.196 0.169
0.754 0.509 0.751
0.327 0.654 0.011
0.673 0.346 0.989
0.000 0.000 0.000

---

(6)
PBE-GGA AcLaPuN4, optimized geometry; symmetry = I4mm, No. 107; E = -64.66 eV per cell
1.0
-0.604 1.186 4.012
-3.608 -2.199 0.107
5.393 -4.786 -0.001
N Pu La Ac
4 1 1 1
Direct
0.003 0.503 0.006
0.164 0.164 0.327
0.503 0.003 0.006
0.830 0.830 0.660
0.001 0.001 0.002
0.647 0.647 0.294
0.352 0.352 0.705

---

(7)
PBE-GGA AcLa2PuN4, optimized geometry; symmetry = P2/m, No. 10; E = -70.94 eV per cell
1.0
3.718 0.000 0.000
0.000 6.465 0.101
0.000 -2.265 6.003
N Ac La Pu
4 1 2 1
Direct
0.000 0.783 0.231
0.500 0.767 0.760
0.500 0.233 0.240
0.000 0.217 0.769
0.500 0.500 0.000
0.000 0.500 0.500
0.500 0.000 0.500
0.000 0.000 0.000

---

(8)
PBE-GGA Ac4La3PuN8, optimized geometry; symmetry = C2/m, No. 12; E = -130.31 eV per cell
1.0
7.561 0.000 0.000
0.000 7.593 0.006
-3.781 -3.790 5.366
Ac La Pu N
4 3 1 8
Direct
0.500 0.000 0.500
0.000 0.000 0.000
0.000 0.000 0.500
0.500 0.000 0.000
0.000 0.500 0.500
0.500 0.500 0.000
0.500 0.500 0.500
0.000 0.500 0.000
0.227 0.721 0.994
0.254 0.261 0.508
0.233 0.279 0.006
0.754 0.261 0.507
0.773 0.279 0.006
0.767 0.721 0.994
0.746 0.739 0.492
0.246 0.739 0.493

---

(9)
PBE-GGA AcLaPuN3, optimized geometry; symmetry = P2_1/m, No. 11; E = -110.81 eV per cell
1.0
-2.058 -1.412 2.744
-3.543 -3.070 -4.238
6.801 -6.299 1.859
Pu N Ac La
2 6 2 2
Direct
0.750 0.864 0.355
0.250 0.136 0.645
0.750 0.042 0.164
0.250 0.958 0.836
0.250 0.446 0.822
0.750 0.223 0.518
0.250 0.777 0.482
0.750 0.554 0.178
0.250 0.345 0.309
0.750 0.655 0.691
0.750 0.234 0.952
0.250 0.766 0.048

---

(10)
PBE-GGA Ac2La3PuN6, optimized geometry; symmetry = C2/m, No. 12; E = -101.61 eV per cell
1.0
6.528 -0.017 0.004
-3.277 5.646 0.004
-1.080 -1.870 6.081
La N Ac Pu
3 6 2 1
Direct
0.500 0.500 0.500
0.158 0.842 0.500
0.842 0.158 0.500
0.364 0.077 0.230
0.923 0.636 0.770
0.636 0.923 0.770
0.077 0.364 0.230
0.774 0.774 0.257
0.226 0.226 0.743
0.667 0.333 0.000
0.333 0.667 0.000
0.000 0.000 0.000

---

(11)
PBE-GGA Ac2LaPuN5, optimized geometry; symmetry = Cmc2_1, No. 36; E = -156.61 eV per cell
1.0
-3.546 1.097 0.836
3.220 -1.293 6.696
3.588 11.262 0.450
N Ac La Pu
10 4 2 2
Direct
0.344 0.687 0.388
0.472 0.944 0.797
0.934 0.868 0.553
0.594 0.187 0.540
0.656 0.313 0.888
0.528 0.056 0.297
0.262 0.524 0.647
0.406 0.813 0.040
0.738 0.476 0.147
0.066 0.132 0.053
0.858 0.715 0.747
0.096 0.193 0.695
0.904 0.807 0.195
0.142 0.285 0.247
0.762 0.525 0.493
0.238 0.475 0.993
0.471 0.942 0.464
0.529 0.058 0.964

---

(12)
PBE-GGA AcLaReN4, optimized geometry; symmetry = Cmcm, No. 63; E = -122.15 eV per cell
1.0
-0.114 5.593 0.096
-2.628 0.031 -4.942
-5.736 -2.968 3.033
La Ac Re N
2 2 2 8
Direct
0.897 0.750 0.795
0.103 0.250 0.205
0.604 0.750 0.207
0.396 0.250 0.793
0.748 0.250 0.496
0.252 0.750 0.504
0.084 0.750 0.167
0.590 0.250 0.181
0.000 0.000 0.500
0.916 0.250 0.833
0.500 0.000 0.500
0.000 0.500 0.500
0.500 0.500 0.500
0.410 0.750 0.819

---

| no. | magnetization (μB per cell) | Fermi-level density of states (states/eV per atom) |
| --- | --- | --- |
| 1 | 0.000 | 0.04 |
| 2 | 0.000 | 0.18 |
| 3 | 0.000 | 0.20 |
| 4 | 0.000 | 0.15 |
| 5 | 0.002 | 0.53 |
| 6 | 2.000 | 0.54 |
| 7 | 4.631 | 1.06 |
| 8 | 4.560 | 0.57 |
| 9 | 9.966 | 1.16 |
| 10 | 4.274 | 0.65 |
| 11 | 3.999 | 0.50 |
| 12 | 0.000 | 0.43 |